# 1
# Fe2Ir2Rh7 (PBE-GGA, optimized geometry)
# **Distance to the lowest polymorph of the same formula**: 1.93 eV per formula unit
data_Fe2Ir2Rh7
_chemical_formula_sum 'Fe4 Ir4 Rh14'
_symmetry_space_group_name_H-M 'C 1 2/m 1'
_symmetry_Int_Tables_number 12
_cell_length_a 8.0761
_cell_length_b 9.2173
_cell_length_c 4.9248
_cell_angle_alpha 90.00
_cell_angle_beta 116.97
_cell_angle_gamma 90.00
loop_
_symmetry_equiv_pos_as_xyz
'x,y,z'
'-x,-y,-z'
'-x,y,-z'
'x,-y,z'
'x+1/2,y+1/2,z'
'-x+1/2,-y+1/2,-z'
'-x+1/2,y+1/2,-z'
'x+1/2,-y+1/2,z'
loop_
_atom_site_label
_atom_site_type_symbol
_atom_site_fract_x
_atom_site_fract_y
_atom_site_fract_z
Fe1 Fe 0.1823 0.0000 0.4594
Ir1 Ir 0.0000 0.3642 0.5000
Rh1 Rh 0.0000 0.5000 0.0000
Rh2 Rh 0.1484 0.0000 0.9290
Rh3 Rh 0.1796 0.2549 0.2022

=====

# 2
# DyYTe2 (PBE-GGA, optimized geometry)
# **ΔE_f (raw)**: -1.3186 eV per atom
# **Distance to the lowest polymorph of the same formula**: 0.00 eV per formula unit
data_DyYTe2
_chemical_formula_sum 'Dy3 Y3 Te6'
_symmetry_space_group_name_H-M 'R 3 m'
_symmetry_Int_Tables_number 160
_symmetry_space_group_name_Hall 'R 3 -2"'
_cell_length_a 4.2000
_cell_length_b 4.2000
_cell_length_c 23.0805
_cell_angle_alpha 90.00
_cell_angle_beta 90.00
_cell_angle_gamma 120.00
loop_
_atom_site_label
_atom_site_type_symbol
_atom_site_fract_x
_atom_site_fract_y
_atom_site_fract_z
Dy1 Dy 0.0000 0.0000 0.0000
Y1 Y 0.0000 0.0000 0.8267
Te1 Te 0.0000 0.0000 0.2460
Te2 Te 0.0000 0.0000 0.4141

=====

# 3
# BaLiRuO4 (PBE-GGA, optimized geometry)
# **ΔE_f (raw)**: -1.5925 eV per atom
data_BaLiRuO4
_chemical_formula_sum 'Ba2 Li2 Ru2 O8'
_symmetry_space_group_name_H-M 'I -4'
_symmetry_Int_Tables_number 82
_cell_length_a 5.8625
_cell_length_b 5.8625
_cell_length_c 7.2676
_cell_angle_alpha 90.00
_cell_angle_beta 90.00
_cell_angle_gamma 90.00
loop_
_symmetry_equiv_pos_as_xyz
'x,y,z'
'y,-x,-z'
'-x,-y,z'
'-y,x,-z'
'x+1/2,y+1/2,z+1/2'
'y+1/2,-x+1/2,-z+1/2'
'-x+1/2,-y+1/2,z+1/2'
'-y+1/2,x+1/2,-z+1/2'
loop_
_atom_site_label
_atom_site_type_symbol
_atom_site_fract_x
_atom_site_fract_y
_atom_site_fract_z
Ba1 Ba 0.0000 0.0000 0.0000
Li1 Li 0.0000 0.0000 0.5000
Ru1 Ru 0.0000 0.5000 0.2500
O1 O 0.1452 0.7515 0.3473

=====

# 4
Ce6CoAu3 | PBE-GGA | optimized geometry

Geometry as CIF:
```
data_Ce6CoAu3
_chemical_formula_sum 'Ce12 Co2 Au6'
_symmetry_space_group_name_H-M 'P n n m'
_symmetry_Int_Tables_number 58
_cell_length_a 10.1408
_cell_length_b 10.6191
_cell_length_c 4.6590
_cell_angle_alpha 90.00
_cell_angle_beta 90.00
_cell_angle_gamma 90.00
loop_
_symmetry_equiv_pos_as_xyz
'x,y,z'
'-x,-y,-z'
'-x,-y,z'
'x,y,-z'
'x+1/2,-y+1/2,-z+1/2'
'-x+1/2,y+1/2,z+1/2'
'-x+1/2,y+1/2,-z+1/2'
'x+1/2,-y+1/2,z+1/2'
loop_
_atom_site_label
_atom_site_type_symbol
_atom_site_fract_x
_atom_site_fract_y
_atom_site_fract_z
Ce1 Ce 0.0218 0.2226 0.0000
Ce2 Ce 0.1730 0.9605 0.5000
Ce3 Ce 0.1857 0.5560 0.5000
Co1 Co 0.0000 0.0000 0.0000
Au1 Au 0.0000 0.5000 0.0000
Au2 Au 0.2223 0.2585 0.5000
```

=====

# 5
Sm5HoP6 | PBE-GGA | optimized geometry

Geometry as CIF:
```
data_Sm5HoP6
_chemical_formula_sum 'Sm10 Ho2 P12'
_symmetry_space_group_name_H-M 'C 1 2/m 1'
_symmetry_Int_Tables_number 12
_cell_length_a 7.0836
_cell_length_b 12.2652
_cell_length_c 7.0814
_cell_angle_alpha 90.00
_cell_angle_beta 109.48
_cell_angle_gamma 90.00
loop_
_symmetry_equiv_pos_as_xyz
'x,y,z'
'-x,-y,-z'
'-x,y,-z'
'x,-y,z'
'x+1/2,y+1/2,z'
'-x+1/2,-y+1/2,-z'
'-x+1/2,y+1/2,-z'
'x+1/2,-y+1/2,z'
loop_
_atom_site_label
_atom_site_type_symbol
_atom_site_fract_x
_atom_site_fract_y
_atom_site_fract_z
Sm1 Sm 0.0000 0.0000 0.0000
Sm2 Sm 0.0000 0.1665 0.5000
Sm3 Sm 0.0000 0.3327 0.0000
Ho1 Ho 0.0000 0.5000 0.5000
P1 P 0.2472 0.3352 0.7474
P2 P 0.2468 0.5000 0.2521
```

=====

# 6
NdY2Ho4Sc | PBE-GGA | optimized geometry

Geometry as CIF:
```
data_NdY2Ho4Sc
_chemical_formula_sum 'Nd4 Y8 Ho16 Sc4'
_symmetry_space_group_name_H-M 'C 1 2/c 1'
_symmetry_Int_Tables_number 15
_cell_length_a 13.4530
_cell_length_b 13.0871
_cell_length_c 6.7431
_cell_angle_alpha 90.00
_cell_angle_beta 120.05
_cell_angle_gamma 90.00
loop_
_symmetry_equiv_pos_as_xyz
'x,y,z'
'-x,-y,-z'
'-x,y,-z+1/2'
'x,-y,z+1/2'
'x+1/2,y+1/2,z'
'-x+1/2,-y+1/2,-z'
'-x+1/2,y+1/2,-z+1/2'
'x+1/2,-y+1/2,z+1/2'
loop_
_atom_site_label
_atom_site_type_symbol
_atom_site_fract_x
_atom_site_fract_y
_atom_site_fract_z
Nd1 Nd 0.2500 0.2500 0.0000
Y1 Y 0.0000 0.0000 0.0000
Y2 Y 0.2500 0.2500 0.5000
Ho1 Ho 0.0000 0.2614 0.5013
Ho2 Ho 0.2359 0.4990 0.9837
Sc1 Sc 0.0000 0.5000 0.0000
```

=====

# 7
# YErHg (PBE-GGA, optimized geometry)
# **Distance to the lowest polymorph of the same formula**: 0.58 eV per formula unit
data_YErHg
_chemical_formula_sum 'Y1 Er1 Hg1'
_symmetry_space_group_name_H-M 'P 3 m 1'
_symmetry_Int_Tables_number 156
_cell_length_a 5.1215
_cell_length_b 5.1215
_cell_length_c 3.6936
_cell_angle_alpha 90.00
_cell_angle_beta 90.00
_cell_angle_gamma 120.00
loop_
_symmetry_equiv_pos_as_xyz
'x,y,z'
'-y,x-y,z'
'-x+y,-x,z'
'-y,-x,z'
'-x+y,y,z'
'x,x-y,z'
loop_
_atom_site_label
_atom_site_type_symbol
_atom_site_fract_x
_atom_site_fract_y
_atom_site_fract_z
Y1 Y 0.0000 0.0000 0.0000
Er1 Er 0.3333 0.6667 0.5326
Hg1 Hg 0.6667 0.3333 0.3244

=====

# 8
# Er2ThAl (PBE-GGA, optimized geometry)
# **Distance to the lowest polymorph of the same formula**: 0.19 eV per formula unit
data_Er2ThAl
_chemical_formula_sum 'Er2 Th1 Al1'
_symmetry_space_group_name_H-M 'P 4/m m m'
_symmetry_Int_Tables_number 123
_symmetry_space_group_name_Hall '-P 4 2'
_cell_length_a 4.7740
_cell_length_b 4.7740
_cell_length_c 4.7629
_cell_angle_alpha 90.00
_cell_angle_beta 90.00
_cell_angle_gamma 90.00
loop_
_atom_site_label
_atom_site_type_symbol
_atom_site_fract_x
_atom_site_fract_y
_atom_site_fract_z
Er1 Er 0.0000 0.5000 0.0000
Th1 Th 0.0000 0.0000 0.5000
Al1 Al 0.5000 0.5000 0.5000

=====

# 9
ZrSc4C2 | PBE-GGA | optimized geometry

Geometry as CIF:
```
data_ZrSc4C2
_chemical_formula_sum 'Zr2 Sc8 C4'
_symmetry_space_group_name_H-M 'I 4/m m m'
_symmetry_Int_Tables_number 139
_symmetry_space_group_name_Hall '-I 4 2'
_cell_length_a 5.0311
_cell_length_b 5.0311
_cell_length_c 11.6241
_cell_angle_alpha 90.00
_cell_angle_beta 90.00
_cell_angle_gamma 90.00
loop_
_atom_site_label
_atom_site_type_symbol
_atom_site_fract_x
_atom_site_fract_y
_atom_site_fract_z
Zr1 Zr 0.0000 0.0000 0.0000
Sc1 Sc 0.0000 0.0000 0.2645
Sc2 Sc 0.0000 0.5000 0.0000
C1 C 0.0000 0.0000 0.4431
```

=====

# 10
Ac3Al2ZnHg6 | PBE-GGA | optimized geometry

Geometry as CIF:
```
data_Ac3Al2ZnHg6
_chemical_formula_sum 'Ac3 Al2 Zn1 Hg6'
_symmetry_space_group_name_H-M 'P -3 m 1'
_symmetry_Int_Tables_number 164
_symmetry_space_group_name_Hall '-P 3 2"'
_cell_length_a 6.7824
_cell_length_b 6.7824
_cell_length_c 8.6362
_cell_angle_alpha 90.00
_cell_angle_beta 90.00
_cell_angle_gamma 120.00
loop_
_atom_site_label
_atom_site_type_symbol
_atom_site_fract_x
_atom_site_fract_y
_atom_site_fract_z
Ac1 Ac 0.0000 0.0000 0.0000
Ac2 Ac 0.3333 0.6667 0.6666
Al1 Al 0.3333 0.6667 0.0575
Zn1 Zn 0.0000 0.0000 0.5000
Hg1 Hg 0.1779 0.3558 0.3024
```

=====

Values for VASP energy, eV/cell, ordered as above
-166.111; -67.871; -88.186; -112.846; -159.093; -155.340; -11.902; -20.858; -97.349; -24.901